A plane-wave DFT calculation with PBE+U was carried out for CeVBrO4 after structural relaxation.

Properties
- D(E_F) (states/eV/atom) = 0.00
- ρ (Mg/m³) = 4.5
- E (eV per atom) = -7.31

```
CeVBrO4
1.0
-0.1884 -0.0036 -6.3551
-4.2524 -4.1906 -2.1859
-5.4309 3.9046 -1.3726
O V Br Ce
8 2 2 2
Cartesian
-6.3125 1.0947 -5.0539
-8.4736 -0.3490 -6.3074
-4.1585 0.8394 -3.2105
-5.7133 -1.1290 -6.7030
-2.9156 -1.5039 -2.0495
-1.3982 0.0594 -3.6061
-6.9562 1.2143 -7.8640
-3.5593 -1.3843 -4.8596
-3.0784 -0.4762 -3.4789
-6.7934 0.1866 -6.4346
-8.4894 -1.1718 -9.4520
-1.3823 0.8822 -0.4615
-4.0810 -2.6583 -6.6476
-5.7908 2.3687 -3.2659
```